# 1
! K2AgIrF6 | Alexandria via LeMat-Bulk | PBE | relaxed; values from VASP
&SYSTEM
  ibrav = 0, nat = 10, ntyp = 4
/
ATOMIC_SPECIES
F 19.00 F.upf
K 39.10 K.upf
Ir 192.22 Ir.upf
Ag 107.87 Ag.upf
CELL_PARAMETERS angstrom
-2.717 -2.278 -5.130
-0.617 -6.163 -0.728
-5.641 -2.634 0.367
ATOMIC_POSITIONS crystal
F 0.769 0.231 0.231
F 0.231 0.769 0.769
F 0.769 0.231 0.769
F 0.231 0.769 0.231
F 0.769 0.769 0.231
K 0.250 0.250 0.250
K 0.750 0.750 0.750
F 0.231 0.231 0.769
Ir 0.000 0.000 0.000
Ag 0.500 0.500 0.500
! Space group: Fm-3m, No. 225
! VASP energy: -4.4020 eV per atom
! Magnetic moment: 0.20 μB per formula unit

---

# 2
! Li2AgIrF8 | Alexandria via LeMat-Bulk | PBE | relaxed; values from VASP
&SYSTEM
  ibrav = 0, nat = 12, ntyp = 4
/
ATOMIC_SPECIES
F 19.00 F.upf
Li 6.94 Li.upf
Ag 107.87 Ag.upf
Ir 192.22 Ir.upf
CELL_PARAMETERS angstrom
4.729 0.020 -0.002
0.047 4.716 -0.004
0.006 0.009 6.994
ATOMIC_POSITIONS crystal
F 0.196 0.798 0.793
F 0.686 0.689 0.500
F 0.291 0.284 0.000
F 0.804 0.202 0.207
F 0.196 0.798 0.207
Li 0.500 0.500 0.282
Li 0.500 0.500 0.718
F 0.709 0.716 0.000
F 0.804 0.202 0.793
Ag 0.000 0.000 0.500
F 0.314 0.311 0.500
Ir 0.000 0.000 0.000
! Space group: P2/m, No. 10
! VASP energy: -4.4445 eV per atom
! Magnetic moment: 1.96 μB per formula unit

---

# 3
! MgAgIrF6 | Alexandria via LeMat-Bulk | PBE | relaxed; values from VASP
&SYSTEM
  ibrav = 0, nat = 18, ntyp = 4
/
ATOMIC_SPECIES
F 19.00 F.upf
Ir 192.22 Ir.upf
Ag 107.87 Ag.upf
Mg 24.30 Mg.upf
CELL_PARAMETERS angstrom
5.392 0.000 0.000
-2.696 4.670 0.000
0.000 0.000 10.571
ATOMIC_POSITIONS crystal
F 0.998 0.358 0.649
F 0.640 0.642 0.149
Ir 0.333 0.667 0.750
F 0.002 0.642 0.351
Ag 0.000 0.000 0.000
Mg 0.333 0.667 0.250
F 0.360 0.002 0.649
F 0.998 0.640 0.851
F 0.358 0.360 0.351
F 0.360 0.358 0.851
F 0.358 0.998 0.149
F 0.642 0.640 0.649
Ag 0.000 0.000 0.500
F 0.002 0.360 0.149
Mg 0.667 0.333 0.750
F 0.642 0.002 0.851
Ir 0.667 0.333 0.250
F 0.640 0.998 0.351
! Space group: P-31c, No. 163
! VASP energy: -4.6944 eV per atom
! Magnetic moment: 0.10 μB per formula unit

---

# 4
! Na2AgIrF6 | Alexandria via LeMat-Bulk | PBE | relaxed; values from VASP
&SYSTEM
  ibrav = 0, nat = 10, ntyp = 4
/
ATOMIC_SPECIES
Ag 107.87 Ag.upf
F 19.00 F.upf
Na 22.99 Na.upf
Ir 192.22 Ir.upf
CELL_PARAMETERS angstrom
-2.768 -3.996 3.795
-2.158 1.913 5.451
-6.082 0.361 0.954
ATOMIC_POSITIONS crystal
Ag 0.500 0.500 0.500
F 0.767 0.233 0.767
F 0.767 0.767 0.233
F 0.233 0.233 0.767
F 0.233 0.767 0.233
Na 0.750 0.750 0.750
Na 0.250 0.250 0.250
Ir 0.000 0.000 0.000
F 0.233 0.767 0.767
F 0.767 0.233 0.233
! Space group: Fm-3m, No. 225
! VASP energy: -4.2697 eV per atom
! Magnetic moment: 0.20 μB per formula unit

---

# 5
! NaAg2IrF8 | Alexandria via LeMat-Bulk | PBE | relaxed; values from VASP
&SYSTEM
  ibrav = 0, nat = 12, ntyp = 4
/
ATOMIC_SPECIES
Ag 107.87 Ag.upf
Na 22.99 Na.upf
Ir 192.22 Ir.upf
F 19.00 F.upf
CELL_PARAMETERS angstrom
5.119 -0.238 -0.002
-0.270 5.310 -0.006
0.004 0.008 7.130
ATOMIC_POSITIONS crystal
Ag 0.500 0.500 0.746
Na 0.000 0.000 0.500
Ir 0.000 0.000 0.000
F 0.159 0.818 0.799
Ag 0.500 0.500 0.254
F 0.159 0.818 0.201
F 0.676 0.708 0.500
F 0.324 0.292 0.500
F 0.841 0.182 0.799
F 0.301 0.267 0.000
F 0.841 0.182 0.201
F 0.699 0.733 0.000
! Space group: P2/m, No. 10
! VASP energy: -4.1361 eV per atom
! Magnetic moment: 1.25 μB per formula unit

---

# 6
! Na2AgIrF6 | Alexandria via LeMat-Bulk | PBE | relaxed; values from VASP
&SYSTEM
  ibrav = 0, nat = 10, ntyp = 4
/
ATOMIC_SPECIES
F 19.00 F.upf
Ir 192.22 Ir.upf
Na 22.99 Na.upf
Ag 107.87 Ag.upf
CELL_PARAMETERS angstrom
5.780 0.000 0.001
2.890 5.004 0.000
2.891 1.668 5.155
ATOMIC_POSITIONS crystal
F 0.234 0.966 0.240
Ir 0.326 0.326 0.023
Na 0.530 0.530 0.411
Ag 0.812 0.812 0.565
F 0.129 0.404 0.781
F 0.561 0.234 0.240
F 0.687 0.129 0.781
F 0.966 0.561 0.240
F 0.404 0.687 0.781
Na 0.015 0.015 0.955
! Space group: R3, No. 146
! VASP energy: -4.4108 eV per atom
! Magnetic moment: 0.16 μB per formula unit

---

# 7
! Nb2AgIrF | Alexandria via LeMat-Bulk | PBE | relaxed; values from VASP
&SYSTEM
  ibrav = 0, nat = 5, ntyp = 4
/
ATOMIC_SPECIES
Nb 92.91 Nb.upf
Ag 107.87 Ag.upf
Ir 192.22 Ir.upf
F 19.00 F.upf
CELL_PARAMETERS angstrom
4.980 0.000 0.000
0.000 3.973 0.000
0.000 0.000 4.980
ATOMIC_POSITIONS crystal
Nb 0.500 0.000 0.000
Ag 0.500 0.500 0.500
Nb 0.000 0.000 0.500
Ir 0.000 0.000 0.000
F 0.000 0.500 0.000
! Space group: P4/mmm, No. 123
! VASP energy: -6.0838 eV per atom
! Magnetic moment: 0.00 μB per formula unit

---

# 8
! AgIrOF2 | Alexandria via LeMat-Bulk | PBE | relaxed; values from VASP
&SYSTEM
  ibrav = 0, nat = 5, ntyp = 4
/
ATOMIC_SPECIES
F 19.00 F.upf
O 16.00 O.upf
Ag 107.87 Ag.upf
Ir 192.22 Ir.upf
CELL_PARAMETERS angstrom
4.220 0.000 0.000
0.000 4.220 0.000
0.000 0.000 4.217
ATOMIC_POSITIONS crystal
F 0.000 0.500 0.000
O 0.000 0.000 0.500
Ag 0.000 0.000 0.000
F 0.500 0.000 0.000
Ir 0.500 0.500 0.500
! Space group: P4/mmm, No. 123
! VASP energy: -3.5680 eV per atom
! Magnetic moment: 2.74 μB per formula unit

---

# 9
! Ag2IrO2F4 | Alexandria via LeMat-Bulk | PBE | relaxed; values from VASP
&SYSTEM
  ibrav = 0, nat = 9, ntyp = 4
/
ATOMIC_SPECIES
O 16.00 O.upf
F 19.00 F.upf
Ag 107.87 Ag.upf
Ir 192.22 Ir.upf
CELL_PARAMETERS angstrom
4.815 0.162 0.110
1.274 5.560 0.209
1.274 2.236 5.095
ATOMIC_POSITIONS crystal
O 0.819 0.843 0.843
F 0.336 0.173 0.661
F 0.664 0.339 0.827
F 0.336 0.661 0.173
Ag 0.815 0.348 0.348
Ir 0.500 0.000 0.000
F 0.664 0.827 0.339
O 0.181 0.157 0.157
Ag 0.185 0.652 0.652
! Space group: C2/m, No. 12
! VASP energy: -4.4901 eV per atom
! Magnetic moment: 1.02 μB per formula unit

---

# 10
! AgIrOF2 | Alexandria via LeMat-Bulk | PBE | relaxed; values from VASP
&SYSTEM
  ibrav = 0, nat = 5, ntyp = 4
/
ATOMIC_SPECIES
Ir 192.22 Ir.upf
F 19.00 F.upf
O 16.00 O.upf
Ag 107.87 Ag.upf
CELL_PARAMETERS angstrom
4.452 0.000 0.000
0.000 4.452 0.000
0.000 0.000 3.713
ATOMIC_POSITIONS crystal
Ir 0.000 0.000 0.000
F 0.000 0.500 0.000
O 0.000 0.000 0.500
F 0.500 0.000 0.000
Ag 0.500 0.500 0.500
! Space group: P4/mmm, No. 123
! VASP energy: -4.6993 eV per atom
! Magnetic moment: 0.00 μB per formula unit

---

# 11
! AgIrPdF6 | Alexandria via LeMat-Bulk | PBE | relaxed; values from VASP
&SYSTEM
  ibrav = 0, nat = 18, ntyp = 4
/
ATOMIC_SPECIES
F 19.00 F.upf
Pd 106.42 Pd.upf
Ir 192.22 Ir.upf
Ag 107.87 Ag.upf
CELL_PARAMETERS angstrom
-2.158 -4.221 1.898
2.695 -2.849 -3.271
7.851 -0.795 7.159
ATOMIC_POSITIONS crystal
F 0.815 0.185 0.189
F 0.325 0.325 0.978
Pd 0.000 0.000 0.673
Pd 0.500 0.500 0.173
Ir 0.000 0.000 0.332
F 0.224 0.776 0.831
Ag 0.500 0.500 0.499
Ir 0.500 0.500 0.832
F 0.315 0.315 0.689
F 0.724 0.724 0.331
F 0.185 0.815 0.189
F 0.685 0.685 0.689
F 0.776 0.224 0.831
Ag 0.000 0.000 0.999
F 0.825 0.175 0.478
F 0.175 0.825 0.478
F 0.675 0.675 0.978
F 0.276 0.276 0.331
! Space group: P4_2nm, No. 102
! VASP energy: -4.2972 eV per atom
! Magnetic moment: 2.07 μB per formula unit

---

# 12
! AgIrPdF2 | Alexandria via LeMat-Bulk | PBE | relaxed; values from VASP
&SYSTEM
  ibrav = 0, nat = 5, ntyp = 4
/
ATOMIC_SPECIES
F 19.00 F.upf
Ag 107.87 Ag.upf
Ir 192.22 Ir.upf
Pd 106.42 Pd.upf
CELL_PARAMETERS angstrom
3.987 0.000 0.000
0.000 5.477 0.000
0.000 0.000 3.987
ATOMIC_POSITIONS crystal
F 0.000 0.000 0.500
Ag 0.000 0.500 0.000
Ir 0.000 0.000 0.000
Pd 0.500 0.500 0.500
F 0.500 0.000 0.000
! Space group: P4/mmm, No. 123
! VASP energy: -4.1161 eV per atom
! Magnetic moment: 0.00 μB per formula unit

---

Q: Which formula does entry 4 have?
A: Na2AgIrF6

---

Q: The lowest VASP energy belongs to which entry?
A: Nb2AgIrF

---

Q: What is the magnetic moment in the eighth record?
A: 2.74 μB per formula unit